Rb4Hg2GeAs2: relaxed, GGA-PBE.

Results
Total energy in Ha/atom: -0.082
SG: C2/m
Fermi-level density of states in states/eV/cell: 4.97
Energy of formation in meV/atom: -188

a b c (Å): 5.940 8.457 8.457
angles (deg): 64.29 79.67 79.67
Fractional coordinates of all 9 atoms:
Rb: 0.201 0.615 0.099
Rb: 0.799 0.901 0.385
Rb: 0.799 0.385 0.901
Rb: 0.201 0.099 0.615
Hg: 0.311 0.595 0.595
Hg: 0.689 0.405 0.405
Ge: 0.500 0.000 0.000
As: 0.286 0.154 0.154
As: 0.714 0.846 0.846

InSiSn2P: relaxed, GGA-PBE.

Results
Total energy in Ha/atom: -0.141
SG: P4/mmm
Fermi-level density of states in states/eV/cell: 2.42
Formation energy (no corrections) in eV per atom: 0.476

a b c (Å): 5.241 4.719 5.241
angles (deg): 90.00 90.00 90.00
Fractional coordinates of all 5 atoms:
P: 0.000 0.000 0.000
Si: 0.000 0.500 0.000
Sn: 0.000 0.000 0.500
Sn: 0.500 0.000 0.000
In: 0.500 0.500 0.500

MnCd: relaxed, GGA-PBE.

Results
Total energy in Ha/atom: -0.172
SG: Pmmn
Fermi-level density of states in states/eV/cell: 3.27
Energy of formation in meV/atom: 360

a b c (Å): 3.035 4.724 5.051
angles (deg): 90.00 90.00 90.00
Fractional coordinates of all 4 atoms:
Cd: 0.000 0.000 0.013
Cd: 0.500 0.500 0.820
Mn: 0.000 0.500 0.342
Mn: 0.500 0.000 0.491

Listing total magnetic moment for the structures above in their given order: 0.000; 0.000; 3.742 μB/f.u..
Listing calculated density for the structures above in their given order: 4.29; 5.27; 7.67 g/cm³.